# 1
## SrBi2PI (PBE-GGA)

Data for SrBi2PI after structural relaxation.

The raw formation energy comes out at 376 kJ/mol of formula units. The calculation puts the density of states at the Fermi level at 9.9 states/eV per cell. The value obtained for the electronic total energy is -2.5012 eV per atom.

The structure belongs to space group P4/mmm (No. 123); the cell edges are 6.3083, 6.3083 and 5.4347 Å and the angles 90.00°, 90.00° and 90.00°. The inequivalent atoms are Sr at (0.0000, 0.0000, 0.0000), Bi at (0.0000, 0.5000, 0.0000), P at (0.0000, 0.0000, 0.5000) and I at (0.5000, 0.5000, 0.5000).

=====

# 2
## ZnAgRu2 (PBE-GGA)

Data for ZnAgRu2 after structural relaxation.

The calculation puts the density of states at the Fermi level at 8.7 states/eV per cell. The value obtained for the electronic total energy is -5.3109 eV per atom. The value obtained for the formation energy from the elements is 1.43 eV/f.u.

The structure belongs to space group Imm2 (No. 44); the cell edges are 2.9249, 4.5898 and 8.9035 Å and the angles 90.00°, 90.00° and 90.00°. The inequivalent atoms are Zn at (0.0000, 0.0000, 0.0000), Ag at (0.0000, 0.5000, 0.7480), Ru at (0.0000, 0.0000, 0.5180) and Ru at (0.0000, 0.5000, 0.2538).

=====

# 3
## Y4Zn2CdCu (PBE-GGA)

Data for Y4Zn2CdCu after structural relaxation.

The calculation puts the density of states at the Fermi level at 19.8 states/eV per cell. The value obtained for the electronic total energy is -4.4931 eV per atom. The value obtained for the formation energy from the elements is -2.53 eV/f.u.

The structure belongs to space group R-3m (No. 166, hexagonal axes); the cell edges are 5.1055, 5.1055 and 24.8847 Å and the angles 90.00°, 90.00° and 120.00°. The inequivalent atoms are Y at (0.0000, 0.0000, 0.1192), Y at (0.0000, 0.0000, 0.3699), Zn at (0.0000, 0.0000, 0.2461), Cd at (0.0000, 0.0000, 0.5000) and Cu at (0.0000, 0.0000, 0.0000).

=====

# 4
## Y2ZrMn (PBE-GGA)

Data for Y2ZrMn after structural relaxation.

Its relative energy among the computed polymorphs is 0.184 eV/atom. The calculation puts the density of states at the Fermi level at 9.0 states/eV per cell. The value obtained for the electronic total energy is -7.3713 eV per atom. The value obtained for the formation energy from the elements is 1.16 eV/f.u.

The structure belongs to space group I4/mmm (No. 139); the cell edges are 4.6421, 4.6421 and 9.2702 Å and the angles 90.00°, 90.00° and 90.00°. The inequivalent atoms are Y at (0.0000, 0.5000, 0.2500), Zr at (0.0000, 0.0000, 0.0000) and Mn at (0.0000, 0.0000, 0.5000).

=====

# 5
## TiSnS2 (PBE-GGA)

Data for TiSnS2 after structural relaxation.

The raw formation energy comes out at -213 kJ/mol of formula units. The calculation puts the density of states at the Fermi level at 9.3 states/eV per cell. The value obtained for the electronic total energy is -5.5892 eV per atom.

The structure belongs to space group Cmcm (No. 63); the cell edges are 3.7279, 20.3401 and 4.6752 Å and the angles 90.00°, 90.00° and 90.00°. The inequivalent atoms are Ti at (0.0000, 0.0535, 0.2500), Sn at (0.0000, 0.3195, 0.2500), S at (0.0000, 0.0630, 0.7500) and S at (0.0000, 0.1797, 0.2500).

=====

# 6
## Th2AuSe (PBE-GGA)

Data for Th2AuSe after structural relaxation.

Its relative energy among the computed polymorphs is 0.048 eV/atom. The raw formation energy comes out at -372 kJ/mol of formula units. The calculation puts the density of states at the Fermi level at 11.6 states/eV per cell. The value obtained for the electronic total energy is -6.3644 eV per atom.

The structure belongs to space group R3m (No. 160, hexagonal axes); the cell edges are 4.0033, 4.0033 and 23.8503 Å and the angles 90.00°, 90.00° and 120.00°. The inequivalent atoms are Th at (0.0000, 0.0000, 0.0000), Th at (0.0000, 0.0000, 0.1737), Au at (0.0000, 0.0000, 0.7548) and Se at (0.0000, 0.0000, 0.5867).

=====

# 7
## DyMg4In (PBE-GGA)

Data for DyMg4In after structural relaxation.

The calculation puts the density of states at the Fermi level at 13.9 states/eV per cell. The value obtained for the electronic total energy is -2.2973 eV per atom. The value obtained for the formation energy from the elements is -0.07 eV/f.u.

The structure belongs to space group F-43m (No. 216); the cell edges are 8.4343, 8.4343 and 8.4343 Å and the angles 90.00°, 90.00° and 90.00°. The inequivalent atoms are Dy at (0.0000, 0.0000, 0.0000), Mg at (0.1250, 0.1250, 0.3750) and In at (0.2500, 0.2500, 0.7500).